YTaCu2 | GGA-PBE | relaxed

space-group type: P4/mmm, No. 123
polymorph energy (0 for the lowest one): 0.00 kcal/mol of atoms
calculated density: 9.24 g cm⁻³
energy relative to the elements: 0.0681 eV/atom

Lattice parameters (Å, degrees): 3.2673 3.2673 6.6819 90.00 90.00 90.00
Last column: nearest neighbours and their distance in Å.
Atoms (fractional coordinates):
Y 0.0000 0.0000 0.0000  8 Cu 3.03, 4 Y 3.27, 2 Ta 3.34
Ta 0.0000 0.0000 0.5000  8 Cu 2.69
Cu 0.5000 0.5000 0.2937  4 Ta 2.69, 1 Cu 2.76
Cu 0.5000 0.5000 0.7063  4 Ta 2.69, 1 Cu 2.76

***

PmPr4Sm8 | GGA-PBE | relaxed

space-group type: R-3m, No. 166
calculated density: 6.34 g cm⁻³
energy relative to the elements: 0.4885 eV/atom

Lattice parameters (Å, degrees): 7.9386 7.9386 7.9386 89.80 89.80 89.80
Last column: nearest neighbours and their distance in Å.
Atoms (fractional coordinates):
Pm 0.0000 0.0000 0.0000  8 Sm 3.59-3.60, 6 Pr 3.97
Pr 0.0000 0.0000 0.5000  8 Sm 3.49-3.50
Pr 0.0000 0.5000 0.0000  8 Sm 3.49-3.50
Pr 0.5000 0.0000 0.0000  8 Sm 3.49-3.50
Pr 0.5000 0.5000 0.5000  8 Sm 3.28-3.30
Sm 0.2605 0.2605 0.7366  4 Pr 3.28-3.50, 1 Pm 3.59
Sm 0.2605 0.7366 0.2605  4 Pr 3.28-3.50, 1 Pm 3.59
Sm 0.2611 0.2611 0.2611  4 Pr 3.30-3.49, 1 Pm 3.60
Sm 0.2634 0.7395 0.7395  4 Pr 3.28-3.50, 1 Pm 3.59
Sm 0.7366 0.2605 0.2605  4 Pr 3.28-3.50, 1 Pm 3.59
Sm 0.7389 0.7389 0.7389  4 Pr 3.30-3.49, 1 Pm 3.60
Sm 0.7395 0.2634 0.7395  4 Pr 3.28-3.50, 1 Pm 3.59
Sm 0.7395 0.7395 0.2634  4 Pr 3.28-3.50, 1 Pm 3.59

***

TbPm2Dy2Mg | GGA-PBE | relaxed

space-group type: Ibam, No. 72
calculated density: 6.86 g cm⁻³
energy relative to the elements: 0.2021 eV/atom

Lattice parameters (Å, degrees): 10.1035 10.1035 10.1035 141.03 54.73 143.13
Last column: nearest neighbours and their distance in Å.
Atoms (fractional coordinates):
Tb 0.2500 0.2500 0.0000  2 Tb 3.20, 4 Dy 3.37, 2 Mg 3.37
Tb 0.7500 0.7500 0.0000  2 Tb 3.20, 4 Dy 3.37, 2 Mg 3.37
Pm 0.1526 0.6550 0.8076  2 Mg 3.34, 5 Dy 3.36-3.46
Pm 0.3474 0.1550 0.5024  2 Mg 3.34, 5 Dy 3.36-3.46
Pm 0.6526 0.8450 0.4976  2 Mg 3.34, 5 Dy 3.36-3.46
Pm 0.8474 0.3450 0.1924  2 Mg 3.34, 5 Dy 3.36-3.46
Dy 0.1544 0.1559 0.3103  5 Pm 3.36-3.46, 2 Tb 3.37
Dy 0.3456 0.6559 0.0014  5 Pm 3.36-3.46, 2 Tb 3.37
Dy 0.6544 0.3441 0.9986  5 Pm 3.36-3.46, 2 Tb 3.37
Dy 0.8456 0.8441 0.6897  5 Pm 3.36-3.46, 2 Tb 3.37
Mg 0.2500 0.7500 0.5000  2 Mg 3.20, 4 Pm 3.34, 2 Tb 3.37
Mg 0.7500 0.2500 0.5000  2 Mg 3.20, 4 Pm 3.34, 2 Tb 3.37

***

Q: Among the records above, which one has the highest energy relative to the elements?
A: PmPr4Sm8